No. 1
Computed, not measured: a PBEsol-optimized structure of LaMgW2 at the SCAN level of DFT.

Calculated values
Energy in eV per atom: -46.01
Crystal system: tetragonal
Energy of formation from the pure elements in eV/atom: 0.85
Volume in A^3/atom: 20.92

Lattice parameters (Å, degrees): 3.550 3.550 6.642 90.00 90.00 90.00
Atoms (fractional coordinates):
La 0.000 0.000 0.000
Mg 0.000 0.000 0.500
W 0.500 0.500 0.322
W 0.500 0.500 0.678

No. 2
Computed, not measured: a PBEsol-optimized structure of LaYMg at the SCAN level of DFT.

Calculated values
Energy in eV per atom: -25.38
Crystal system: tetragonal
Energy of formation from the pure elements in eV/atom: -0.07
Volume in A^3/atom: 29.91

Lattice parameters (Å, degrees): 6.939 6.939 6.939 148.73 148.73 44.81
Atoms (fractional coordinates):
La 0.000 0.000 0.000
Y 0.315 0.315 0.000
Mg 0.667 0.667 0.000

No. 3
Computed, not measured: a PBEsol-optimized structure of La2YMg at the SCAN level of DFT.

Calculated values
Energy in eV per atom: -29.79
Crystal system: orthorhombic
Energy of formation from the pure elements in eV/atom: -0.04
Volume in A^3/atom: 31.06

Lattice parameters (Å, degrees): 6.663 6.663 6.663 146.63 129.53 61.86
Atoms (fractional coordinates):
La 0.000 0.000 0.000
La 0.733 0.233 0.500
Y 0.466 0.466 0.000
Mg 0.240 0.740 0.500

No. 4
Computed, not measured: a PBEsol-optimized structure of La2YMg at the SCAN level of DFT.

Calculated values
Energy in eV per atom: -29.76
Crystal system: monoclinic
Energy of formation from the pure elements in eV/atom: -0.01
Volume in A^3/atom: 30.41

Lattice parameters (Å, degrees): 3.562 4.867 7.015 90.00 90.06 90.00
Atoms (fractional coordinates):
La 0.000 0.000 0.000
La 0.500 0.500 0.247
Y 0.499 0.500 0.733
Mg 0.999 0.000 0.504

No. 5
Computed, not measured: a PBEsol-optimized structure of La2YMg at the SCAN level of DFT.

Calculated values
Energy in eV per atom: -29.78
Crystal system: tetragonal
Energy of formation from the pure elements in eV/atom: -0.02
Volume in A^3/atom: 31.39

Lattice parameters (Å, degrees): 3.610 3.610 9.635 90.00 90.00 90.00
Atoms (fractional coordinates):
La 0.000 0.000 0.238
La 0.000 0.000 0.762
Y 0.500 0.500 0.500
Mg 0.500 0.500 0.000

No. 6
Computed, not measured: a PBEsol-optimized structure of LaYMg3 at the SCAN level of DFT.

Calculated values
Energy in eV per atom: -16.48
Crystal system: cubic
Energy of formation from the pure elements in eV/atom: 0.69
Volume in A^3/atom: 33.12

Lattice parameters (Å, degrees): 5.492 5.492 5.492 90.00 90.00 90.00
Atoms (fractional coordinates):
La 0.000 0.000 0.000
Y 0.500 0.500 0.500
Mg 0.000 0.500 0.500
Mg 0.500 0.000 0.500
Mg 0.500 0.500 0.000

No. 7
Computed, not measured: a PBEsol-optimized structure of La2YMg at the SCAN level of DFT.

Calculated values
Energy in eV per atom: -29.81
Crystal system: tetragonal
Energy of formation from the pure elements in eV/atom: -0.05
Volume in A^3/atom: 30.67

Lattice parameters (Å, degrees): 3.662 3.662 9.147 90.00 90.00 90.00
Atoms (fractional coordinates):
La 0.000 0.000 0.000
La 0.500 0.500 0.273
Y 0.500 0.500 0.734
Mg 0.000 0.000 0.516

No. 8
Computed, not measured: a PBEsol-optimized structure of La2YMg at the SCAN level of DFT.

Calculated values
Energy in eV per atom: -29.78
Crystal system: tetragonal
Energy of formation from the pure elements in eV/atom: -0.02
Volume in A^3/atom: 30.52

Lattice parameters (Å, degrees): 6.106 6.106 6.106 132.32 132.32 69.73
Atoms (fractional coordinates):
La 0.250 0.750 0.500
La 0.750 0.250 0.500
Y 0.000 0.000 0.000
Mg 0.500 0.500 0.000